# 1
Compound: ZrSc
Source: OQMD
Functional: PBE
Structure: optimized geometry

Summary:
- Total magnetization: 0.15 μB/f.u.
- Mass density: 4.85 Mg/m³
- Calculated total energy: -7.455 eV/atom

a b c (Å): 5.5987 5.1245 9.7423
angles (deg): 90.00 90.00 90.00
Space group Pm (No. 6)
Unique sites:
Zr (0.0000, 0.0000, 0.0000) x1
Zr (0.0014, 0.0000, 0.3344) x1
Zr (0.3308, 0.5000, 0.3357) x1
Zr (0.4999, 0.0000, 0.8333) x1
Zr (0.5015, 0.0000, 0.4989) x1
Zr (0.8310, 0.5000, 0.4974) x1
Sc (0.3325, 0.5000, 0.0007) x1
Sc (0.3351, 0.5000, 0.6635) x1
Sc (0.4973, 0.0000, 0.1666) x1
Sc (0.8315, 0.5000, 0.8315) x1
Sc (0.8354, 0.5000, 0.1699) x1
Sc (0.9973, 0.0000, 0.6665) x1

# 2
Compound: LuPaTe
Source: OQMD
Functional: PBE
Structure: optimized geometry

Summary:
- Total magnetization: 0.30 μB/f.u.
- Mass density: 9.82 Mg/m³
- Calculated total energy: -5.648 eV/atom
- Energy above the most stable polymorph in this dataset: 0.000 eV per atom

a b c (Å): 7.1192 7.1192 7.1192
angles (deg): 90.00 90.00 90.00
Space group F-43m (No. 216)
Unique sites:
Lu (0.0000, 0.0000, 0.0000) x4
Pa (0.0000, 0.0000, 0.5000) x4
Te (0.2500, 0.2500, 0.2500) x4

# 3
Compound: YErPbN
Source: OQMD
Functional: PBE
Structure: optimized geometry

Summary:
- Total magnetization: 0.00 μB/f.u.
- Mass density: 9.43 Mg/m³
- Calculated total energy: -6.873 eV/atom

a b c (Å): 3.5364 3.5364 15.5172
angles (deg): 90.00 90.00 120.00
Space group P-3m1 (No. 164)
Unique sites:
Y (0.3333, 0.6667, 0.4157) x2
Er (0.3333, 0.6667, 0.0824) x2
Pb (0.3333, 0.6667, 0.7521) x2
N (0.0000, 0.0000, 0.0000) x1
N (0.0000, 0.0000, 0.5000) x1